Compound: CoRePb2O6
Source: the Alexandria database
Functional: GGA+U
Structure: optimized geometry

Geometry as POSCAR:
```
CoRePb2O6
1.0
0.000 4.022 4.022
4.022 0.000 4.022
4.022 4.022 0.000
Pb O Re Co
2 6 1 1
Direct
0.250 0.250 0.250 Pb
0.750 0.750 0.750 Pb
0.761 0.239 0.239 O
0.761 0.761 0.239 O
0.761 0.239 0.761 O
0.239 0.239 0.761 O
0.239 0.761 0.239 O
0.239 0.761 0.761 O
0.000 0.000 0.000 Re
0.500 0.500 0.500 Co
```

Calculated density: 9.640 g/cm3
Energy above the lowest structure with this stoichiometry: 14 meV per atom
Spin magnetization: 2.24 μB/cell
Volume: 13.015 A^3/atom